## Na3Tm3WO8 (PBE+U)

Data for an optimized crystal structure of Na3Tm3WO8.

Cell lengths 6.640, 6.678, 6.754 Å; angles 119.37, 90.00, 119.81 degrees
Each line ends with the local moment (μB).
Fractional positions:
Na: 0.000 0.000 0.000  0.00
Na: 0.000 0.500 0.000  0.00
Na: 0.500 0.500 0.000  0.00
Tm: 0.500 0.000 0.500  0.00
Tm: 0.500 0.500 0.500  0.01
Tm: 0.000 0.500 0.500  0.01
W: 0.000 0.000 0.500  1.84
O: 0.266 0.533 0.294  0.00
O: 0.734 0.467 0.706  0.00
O: 0.774 0.548 0.301  0.03
O: 0.226 0.452 0.699  0.03
O: 0.781 0.026 0.304  0.01
O: 0.219 0.974 0.696  0.01
O: 0.245 0.026 0.304  0.01
O: 0.755 0.974 0.696  0.01

Summary:
Its space group is C2/m. The value obtained for the density of states at the Fermi level is 0.0 states/eV/cell. For the calculated total energy, the calculation gives -6.9754 eV/atom. Its calculated volume is 14.29 Å³ per atom.